one:
SiAsAuO: optimized geometry, PBE.

Cell: 3.707 3.707 9.439 Å, 90.00 90.00 90.00°
Fractional coordinates of all 8 atoms:
As 0.000 0.500 0.292
As 0.500 0.000 0.708
Au 0.000 0.000 0.500
Au 0.500 0.500 0.500
O 0.000 0.000 0.000
O 0.500 0.500 0.000
Si 0.500 0.000 0.098
Si 0.000 0.500 0.902

**Symmetry**: P4/nmm (129)

---

two:
SiAsAuO: optimized geometry, PBE.

Cell: 2.751 9.155 5.737 Å, 90.00 90.00 90.00°
Fractional coordinates of all 8 atoms:
As 0.000 0.840 0.384
As 0.000 0.160 0.884
Au 0.500 0.486 0.018
Au 0.500 0.514 0.518
O 0.500 0.171 0.369
O 0.500 0.829 0.869
Si 0.000 0.096 0.483
Si 0.000 0.904 0.983

**Symmetry**: Pmc2_1 (26)

---

three:
SiAsAuO: optimized geometry, PBE.

Cell: 4.314 4.314 8.204 Å, 90.00 90.00 90.00°
Fractional coordinates of all 8 atoms:
As 0.000 0.500 0.341
As 0.500 0.000 0.659
Au 0.500 0.000 0.049
Au 0.000 0.500 0.951
O 0.000 0.000 0.000
O 0.500 0.500 0.000
Si 0.000 0.000 0.500
Si 0.500 0.500 0.500

**Symmetry**: P4/nmm (129)

---

Which of them is the most stable? Correct choice: two.

---

one:
TeAsAuO: optimized geometry, PBE.

Cell: 4.379 6.176 6.090 Å, 90.00 90.00 90.00°
Fractional coordinates of all 8 atoms:
As 0.000 0.314 0.383
As 0.000 0.686 0.883
Au 0.500 0.187 0.496
Au 0.500 0.813 0.996
O 0.500 0.783 0.429
O 0.500 0.217 0.929
Te 0.000 0.745 0.446
Te 0.000 0.255 0.946

**Symmetry**: Pmc2_1 (26)

---

two:
TeAsAuO: optimized geometry, PBE.

Cell: 4.792 4.792 7.661 Å, 90.00 90.00 90.00°
Fractional coordinates of all 8 atoms:
As 0.000 0.500 0.313
As 0.500 0.000 0.687
Au 0.500 0.000 0.017
Au 0.000 0.500 0.983
O 0.000 0.000 0.000
O 0.500 0.500 0.000
Te 0.000 0.000 0.500
Te 0.500 0.500 0.500

**Symmetry**: P4/nmm (129)

---

Which of them is the most stable? Correct choice: one.

---

one:
TeAsAuO: optimized geometry, PBE.

Cell: 3.889 5.800 7.696 Å, 90.00 90.00 90.00°
Fractional coordinates of all 8 atoms:
As 0.000 0.764 0.416
As 0.000 0.236 0.916
Au 0.000 0.921 0.125
Au 0.000 0.079 0.625
O 0.500 0.353 0.234
O 0.500 0.647 0.734
Te 0.500 0.454 0.479
Te 0.500 0.546 0.979

**Symmetry**: Pmc2_1 (26)

---

two:
TeAsAuO: optimized geometry, PBE.

Cell: 3.866 3.866 9.848 Å, 90.00 90.00 90.00°
Fractional coordinates of all 8 atoms:
As 0.250 0.250 0.108
As 0.750 0.750 0.892
Au 0.750 0.250 0.500
Au 0.250 0.750 0.500
O 0.750 0.250 0.000
O 0.250 0.750 0.000
Te 0.750 0.750 0.274
Te 0.250 0.250 0.726

**Symmetry**: P4/nmm (129)

---

Which of them is the most stable? Correct choice: one.

---

one:
TeAsAuO: optimized geometry, PBE.

Cell: 7.156 7.076 7.038 Å, 90.00 91.03 90.00°
Fractional coordinates of all 16 atoms:
As 0.558 0.480 0.186
As 0.442 0.980 0.314
As 0.558 0.020 0.686
As 0.442 0.520 0.814
Au 0.911 0.335 0.041
Au 0.089 0.835 0.459
Au 0.911 0.165 0.541
Au 0.089 0.665 0.959
O 0.540 0.672 0.008
O 0.460 0.172 0.492
O 0.540 0.828 0.508
O 0.460 0.328 0.992
Te 0.815 0.001 0.189
Te 0.185 0.501 0.311
Te 0.815 0.499 0.689
Te 0.185 0.999 0.811

**Symmetry**: P2_1/c (14)

---

two:
TeAsAuO: optimized geometry, PBE.

Cell: 3.853 3.853 9.519 Å, 90.00 90.00 90.00°
Fractional coordinates of all 8 atoms:
As 0.750 0.750 0.283
As 0.250 0.250 0.717
Au 0.750 0.250 0.500
Au 0.250 0.750 0.500
O 0.750 0.250 0.000
O 0.250 0.750 0.000
Te 0.250 0.250 0.140
Te 0.750 0.750 0.860

**Symmetry**: P4/nmm (129)

---

Which of them is the most stable? Correct choice: one.

---

one:
TmAsAuO: optimized geometry, PBE.

Cell: 5.729 5.729 4.706 Å, 90.00 90.00 90.00°
Fractional coordinates of all 8 atoms:
As 0.250 0.250 0.500
As 0.750 0.750 0.500
Au 0.750 0.750 0.000
Au 0.250 0.250 0.000
O 0.750 0.250 0.000
O 0.250 0.750 0.000
Tm 0.750 0.250 0.500
Tm 0.250 0.750 0.500

**Total magnetic moment**: 0.00 μB per cell
**Symmetry**: P4/mmm (123)

---

two:
TmAsAuO: optimized geometry, PBE.

Cell: 3.963 3.963 9.083 Å, 90.00 90.00 90.00°
Fractional coordinates of all 8 atoms:
As 0.000 0.500 0.298
As 0.500 0.000 0.702
Au 0.000 0.000 0.500
Au 0.500 0.500 0.500
O 0.000 0.000 0.000
O 0.500 0.500 0.000
Tm 0.500 0.000 0.113
Tm 0.000 0.500 0.887

**Total magnetic moment**: 0.00 μB per cell
**Symmetry**: P4/nmm (129)

---

three:
TmAsAuO: optimized geometry, PBE.

Cell: 5.605 4.186 6.163 Å, 90.00 90.00 90.00°
Fractional coordinates of all 8 atoms:
As 0.000 0.997 0.219
As 0.000 0.003 0.719
Au 0.000 0.499 0.469
Au 0.000 0.501 0.969
O 0.500 0.299 0.454
O 0.500 0.701 0.954
Tm 0.500 0.224 0.112
Tm 0.500 0.776 0.612

**Total magnetic moment**: 0.00 μB per cell
**Symmetry**: Pmc2_1 (26)

---

four:
TmAsAuO: optimized geometry, PBE.

Cell: 3.764 7.564 6.053 Å, 90.00 90.00 90.00°
Fractional coordinates of all 8 atoms:
As 0.000 0.341 0.420
As 0.000 0.659 0.920
Au 0.500 0.130 0.463
Au 0.500 0.870 0.963
O 0.500 0.833 0.456
O 0.500 0.167 0.956
Tm 0.000 0.722 0.415
Tm 0.000 0.278 0.915

**Total magnetic moment**: 0.00 μB per cell
**Symmetry**: Pmc2_1 (26)

---

Which of them is the most stable? Correct choice: two.

---

one:
YAsAuO: optimized geometry, PBE.

Cell: 5.689 4.228 6.162 Å, 90.00 90.00 90.00°
Fractional coordinates of all 8 atoms:
As 0.000 0.993 0.233
As 0.000 0.007 0.733
Au 0.000 0.497 0.484
Au 0.000 0.503 0.984
O 0.500 0.303 0.442
O 0.500 0.697 0.942
Y 0.500 0.217 0.095
Y 0.500 0.783 0.595

**Total magnetic moment**: 0.01 μB per cell
**Symmetry**: Pmc2_1 (26)

---

two:
YAsAuO: optimized geometry, PBE.

Cell: 3.826 7.595 6.136 Å, 90.00 90.00 90.00°
Fractional coordinates of all 8 atoms:
As 0.000 0.837 0.428
As 0.000 0.163 0.928
Au 0.500 0.630 0.453
Au 0.500 0.370 0.953
O 0.500 0.336 0.449
O 0.500 0.664 0.949
Y 0.000 0.221 0.424
Y 0.000 0.779 0.924

**Total magnetic moment**: 0.00 μB per cell
**Symmetry**: Pmc2_1 (26)

---

three:
YAsAuO: optimized geometry, PBE.

Cell: 4.031 4.031 8.987 Å, 90.00 90.00 90.00°
Fractional coordinates of all 8 atoms:
As 0.000 0.500 0.303
As 0.500 0.000 0.697
Au 0.000 0.000 0.500
Au 0.500 0.500 0.500
O 0.000 0.000 0.000
O 0.500 0.500 0.000
Y 0.500 0.000 0.118
Y 0.000 0.500 0.882

**Total magnetic moment**: 0.01 μB per cell
**Symmetry**: P4/nmm (129)

---

Which of them is the most stable? Correct choice: three.

---

one:
ZnAsAuO: optimized geometry, PBE.

Cell: 4.255 4.255 9.009 Å, 90.00 90.00 90.00°
Fractional coordinates of all 8 atoms:
As 0.750 0.750 0.348
As 0.250 0.250 0.652
Au 0.750 0.750 0.070
Au 0.250 0.250 0.930
O 0.750 0.250 0.000
O 0.250 0.750 0.000
Zn 0.750 0.250 0.500
Zn 0.250 0.750 0.500

**Symmetry**: P4/nmm (129)

---

two:
ZnAsAuO: optimized geometry, PBE.

Cell: 3.362 7.518 5.538 Å, 90.00 90.00 90.00°
Fractional coordinates of all 8 atoms:
As 0.000 0.358 0.396
As 0.000 0.642 0.896
Au 0.000 0.679 0.428
Au 0.000 0.321 0.928
O 0.500 0.901 0.388
O 0.500 0.099 0.888
Zn 0.500 0.875 0.042
Zn 0.500 0.125 0.542

**Symmetry**: Pmc2_1 (26)

---

Which of them is the most stable? Correct choice: two.

---

one:
PaAsAu: optimized geometry, PBE.

Cell: 4.815 4.815 4.815 Å, 60.00 60.00 60.00°
Fractional coordinates of all 3 atoms:
As 0.250 0.250 0.250
Au 0.750 0.750 0.750
Pa 0.000 0.000 0.000

**Total magnetic moment**: 0.95 μB per cell
**Symmetry**: F-43m (216)

---

two:
PaAsAu: optimized geometry, PBE.

Cell: 4.680 4.680 4.680 Å, 60.00 60.00 60.00°
Fractional coordinates of all 3 atoms:
As 0.000 0.000 0.000
Au 0.250 0.250 0.250
Pa 0.750 0.750 0.750

**Total magnetic moment**: 0.89 μB per cell
**Symmetry**: F-43m (216)

---

Which of them is the most stable? Correct choice: one.

---

one:
As2PdAu: optimized geometry, PBE.

Cell: 4.660 4.660 4.660 Å, 60.00 60.00 60.00°
Fractional coordinates of all 4 atoms:
As 0.000 0.000 0.000
As 0.750 0.750 0.750
Au 0.250 0.250 0.250
Pd 0.500 0.500 0.500

**Symmetry**: F-43m (216)

---

two:
As2PdAu: optimized geometry, PBE.

Cell: 4.097 4.097 8.363 Å, 90.00 90.00 90.00°
Fractional coordinates of all 8 atoms:
As 0.000 0.000 0.000
As 0.500 0.500 0.000
As 0.500 0.000 0.275
As 0.000 0.500 0.725
Au 0.000 0.000 0.500
Au 0.500 0.500 0.500
Pd 0.000 0.500 0.214
Pd 0.500 0.000 0.786

**Symmetry**: P4/nmm (129)

---

Which of them is the most stable? Correct choice: two.

---

one:
TaTcAsAu: optimized geometry, PBE.

Cell: 4.513 4.513 4.513 Å, 60.00 60.00 60.00°
Fractional coordinates of all 4 atoms:
As 0.250 0.250 0.250
Au 0.750 0.750 0.750
Ta 0.000 0.000 0.000
Tc 0.500 0.500 0.500

**Total magnetic moment**: 0.00 μB per cell
**Symmetry**: F-43m (216)

---

two:
TaTcAsAu: optimized geometry, PBE.

Cell: 4.583 4.583 4.583 Å, 60.00 60.00 60.00°
Fractional coordinates of all 4 atoms:
As 0.500 0.500 0.500
Au 0.750 0.750 0.750
Ta 0.000 0.000 0.000
Tc 0.250 0.250 0.250

**Total magnetic moment**: 0.01 μB per cell
**Symmetry**: F-43m (216)

---

Which of them is the most stable? Correct choice: one.

---

one:
TlAs2Au: optimized geometry, PBE.

Cell: 6.100 6.100 4.942 Å, 105.69 105.69 35.25°
Fractional coordinates of all 4 atoms:
As 0.227 0.227 0.146
As 0.773 0.773 0.854
Au 0.000 0.000 0.000
Tl 0.500 0.500 0.500

**Symmetry**: C2/m (12)

---

two:
TlAs2Au: optimized geometry, PBE.

Cell: 4.947 4.947 4.947 Å, 60.00 60.00 60.00°
Fractional coordinates of all 4 atoms:
As 0.000 0.000 0.000
As 0.750 0.750 0.750
Au 0.250 0.250 0.250
Tl 0.500 0.500 0.500

**Symmetry**: F-43m (216)

---

Which of them is the most stable? Correct choice: one.